Entry 1:
CsAcAs2O8: relaxed, PBE.

Summary:
* space group: No. 147
* formation energy from raw total energies: -1.60 eV/atom
* E_tot: -6.098 eV/atom

Cell lengths 6.1043, 6.1043, 8.8374 Å; angles 90.00, 90.00, 120.00 degrees
Element x y z (fractional)
Cs 0.0000 0.0000 0.0000
Ac 0.0000 0.0000 0.5000
As 0.3333 0.6667 0.7389
As 0.6667 0.3333 0.2611
O 0.1704 0.3592 0.6782
O 0.1888 0.8296 0.6782
O 0.3333 0.6667 0.9346
O 0.3592 0.1888 0.3218
O 0.6408 0.8112 0.6782
O 0.6667 0.3333 0.0654
O 0.8112 0.1704 0.3218
O 0.8296 0.6408 0.3218



Entry 2:
CsAc3As4O12: relaxed, PBE.

Summary:
* space group: No. 155
* formation energy from raw total energies: -1.79 eV/atom
* E_tot: -6.354 eV/atom

Cell lengths 7.7862, 7.7862, 7.7862 Å; angles 102.54, 102.54, 102.54 degrees
Element x y z (fractional)
Cs 0.0000 0.0000 0.0000
Ac 0.0000 0.5614 0.4386
Ac 0.4386 0.0000 0.5614
Ac 0.5614 0.4386 0.0000
As 0.0683 0.5000 0.9317
As 0.5000 0.5000 0.5000
As 0.5000 0.9317 0.0683
As 0.9317 0.0683 0.5000
O 0.0113 0.2429 0.3960
O 0.0780 0.9220 0.5000
O 0.2429 0.3960 0.0113
O 0.3388 0.6612 0.5000
O 0.3960 0.0113 0.2429
O 0.5000 0.0780 0.9220
O 0.5000 0.3388 0.6612
O 0.6040 0.7571 0.9887
O 0.6612 0.5000 0.3388
O 0.7571 0.9887 0.6040
O 0.9220 0.5000 0.0780
O 0.9887 0.6040 0.7571



Entry 3:
CsAcAs2O6: relaxed, PBE.

Summary:
* space group: No. 148
* formation energy from raw total energies: -1.79 eV/atom
* E_tot: -6.191 eV/atom

Cell lengths 7.5345, 7.5345, 7.5345 Å; angles 48.66, 48.66, 48.66 degrees
Element x y z (fractional)
Cs 0.0000 0.0000 0.0000
Ac 0.5000 0.5000 0.5000
As 0.2652 0.2652 0.2652
As 0.7348 0.7348 0.7348
O 0.0569 0.5414 0.6861
O 0.3139 0.9431 0.4586
O 0.4586 0.3139 0.9431
O 0.5414 0.6861 0.0569
O 0.6861 0.0569 0.5414
O 0.9431 0.4586 0.3139



Entry 4:
CsAc2AsO5: relaxed, PBE.

Summary:
* space group: No. 127
* formation energy from raw total energies: -2.24 eV/atom
* E_tot: -6.517 eV/atom

Cell lengths 7.2994, 7.2994, 6.2128 Å; angles 90.00, 90.00, 90.00 degrees
Element x y z (fractional)
Cs 0.0000 0.0000 0.0000
Cs 0.5000 0.5000 0.0000
Ac 0.1800 0.3200 0.5000
Ac 0.3200 0.8200 0.5000
Ac 0.6800 0.1800 0.5000
Ac 0.8200 0.6800 0.5000
As 0.0000 0.5000 0.0000
As 0.5000 0.0000 0.0000
O 0.0000 0.0000 0.5000
O 0.1301 0.6301 0.2490
O 0.1301 0.6301 0.7510
O 0.3699 0.1301 0.2490
O 0.3699 0.1301 0.7510
O 0.5000 0.5000 0.5000
O 0.6301 0.8699 0.2490
O 0.6301 0.8699 0.7510
O 0.8699 0.3699 0.2490
O 0.8699 0.3699 0.7510



Entry 5:
Cs3AcAs2O8: relaxed, PBE.

Summary:
* space group: No. 164
* formation energy from raw total energies: -2.00 eV/atom
* E_tot: -5.973 eV/atom

Cell lengths 6.2933, 6.2933, 8.8716 Å; angles 90.00, 90.00, 120.00 degrees
Element x y z (fractional)
Cs 0.0000 0.0000 0.0000
Cs 0.3333 0.6667 0.7527
Cs 0.6667 0.3333 0.2473
Ac 0.0000 0.0000 0.5000
As 0.3333 0.6667 0.2666
As 0.6667 0.3333 0.7334
O 0.1838 0.3675 0.3347
O 0.1838 0.8162 0.3347
O 0.3333 0.6667 0.0755
O 0.3675 0.1838 0.6653
O 0.6325 0.8162 0.3347
O 0.6667 0.3333 0.9245
O 0.8162 0.1838 0.6653
O 0.8162 0.6325 0.6653



Entry 6:
Cs2AcAsO6: relaxed, PBE.

Summary:
* space group: No. 164
* formation energy from raw total energies: -1.57 eV/atom
* E_tot: -5.588 eV/atom

Cell lengths 6.8602, 6.8602, 6.1623 Å; angles 90.00, 90.00, 120.00 degrees
Element x y z (fractional)
Cs 0.3333 0.6667 0.3964
Cs 0.6667 0.3333 0.6036
Ac 0.0000 0.0000 0.0000
As 0.0000 0.0000 0.5000
O 0.1268 0.2537 0.6804
O 0.1268 0.8732 0.6804
O 0.2537 0.1268 0.3196
O 0.7463 0.8732 0.6804
O 0.8732 0.1268 0.3196
O 0.8732 0.7463 0.3196



Entry 7:
Cs3AcAs2O6: relaxed, PBE.

Summary:
* space group: No. 164
* formation energy from raw total energies: -1.98 eV/atom
* E_tot: -5.786 eV/atom

Cell lengths 6.3729, 6.3729, 8.0336 Å; angles 90.00, 90.00, 120.00 degrees
Element x y z (fractional)
Cs 0.0000 0.0000 0.0000
Cs 0.3333 0.6667 0.6822
Cs 0.6667 0.3333 0.3178
Ac 0.0000 0.0000 0.5000
As 0.3333 0.6667 0.2228
As 0.6667 0.3333 0.7772
O 0.1864 0.3728 0.3212
O 0.1864 0.8136 0.3212
O 0.3728 0.1864 0.6788
O 0.6272 0.8136 0.3212
O 0.8136 0.1864 0.6788
O 0.8136 0.6272 0.6788



Entry 8:
CsAcAs2Pd4: relaxed, PBE.

Summary:
* space group: No. 123
* E_tot: -4.923 eV/atom
* DFT formation energy: -544 meV/atom

Cell lengths 4.3143, 4.3143, 11.4724 Å; angles 90.00, 90.00, 90.00 degrees
Element x y z (fractional)
Cs 0.0000 0.0000 0.0000
Ac 0.0000 0.0000 0.5000
As 0.5000 0.5000 0.2036
As 0.5000 0.5000 0.7964
Pd 0.0000 0.5000 0.3063
Pd 0.0000 0.5000 0.6937
Pd 0.5000 0.0000 0.3063
Pd 0.5000 0.0000 0.6937



Entry 9:
Cs2AcAsS4: relaxed, PBE.

Summary:
* space group: No. 70
* formation energy from raw total energies: -0.95 eV/atom
* E_tot: -4.322 eV/atom

Cell lengths 15.3223, 13.7775, 8.3833 Å; angles 83.71, 63.35, 32.94 degrees
Element x y z (fractional)
Cs 0.0630 0.0630 0.6870
Cs 0.3130 0.3130 0.9370
Cs 0.6870 0.6870 0.0630
Cs 0.9370 0.9370 0.3130
Ac 0.1250 0.1250 0.1250
Ac 0.8750 0.8750 0.8750
As 0.3750 0.3750 0.3750
As 0.6250 0.6250 0.6250
S 0.0123 0.6433 0.5405
S 0.3039 0.5405 0.6433
S 0.3567 0.9877 0.6961
S 0.4595 0.6961 0.9877
S 0.5405 0.3039 0.0123
S 0.6433 0.0123 0.3039
S 0.6961 0.4595 0.3567
S 0.9877 0.3567 0.4595



Entry 10:
Cs2AcAsSe4: relaxed, PBE.

Summary:
* space group: No. 74
* formation energy from raw total energies: -1.03 eV/atom
* E_tot: -4.084 eV/atom

Cell lengths 9.2262, 9.2262, 9.2262 Å; angles 121.29, 118.56, 90.15 degrees
Element x y z (fractional)
Cs 0.0000 0.0000 0.0000
Cs 0.5000 0.0000 0.0000
Cs 0.5000 0.0000 0.5000
Cs 0.5000 0.5000 0.5000
Ac 0.0000 0.5000 0.5000
Ac 0.5000 0.5000 0.0000
As 0.0000 0.0000 0.5000
As 0.0000 0.5000 0.0000
Se 0.1820 0.7385 0.4435
Se 0.2050 0.2615 0.9435
Se 0.2189 0.2467 0.5278
Se 0.2189 0.6912 0.9722
Se 0.7811 0.3088 0.0278
Se 0.7811 0.7533 0.4722
Se 0.7950 0.7385 0.0565
Se 0.8180 0.2615 0.5565



Entry 11:
Cs2AcAs2Se6: relaxed, PBE.

Summary:
* space group: No. 12
* formation energy from raw total energies: -0.81 eV/atom
* E_tot: -4.088 eV/atom

Cell lengths 7.6822, 7.6822, 9.2984 Å; angles 114.94, 114.94, 60.10 degrees
Element x y z (fractional)
Cs 0.2088 0.2088 0.1982
Cs 0.7912 0.7912 0.8018
Ac 0.0000 0.0000 0.5000
As 0.4576 0.4576 0.8236
As 0.5424 0.5424 0.1764
Se 0.1971 0.7034 0.2054
Se 0.2565 0.2565 0.6246
Se 0.2966 0.8029 0.7946
Se 0.7034 0.1971 0.2054
Se 0.7435 0.7435 0.3754
Se 0.8029 0.2966 0.7946



Entry 12:
AcCu3As2: relaxed, PBE.

Summary:
* space group: No. 12
* E_tot: -4.783 eV/atom
* DFT formation energy: -501 meV/atom

Cell lengths 8.0861, 8.0861, 7.7341 Å; angles 114.15, 114.15, 29.61 degrees
Element x y z (fractional)
Ac 0.1372 0.1372 0.0501
Ac 0.8628 0.8628 0.9499
Cu 0.0564 0.0564 0.4078
Cu 0.3077 0.3077 0.5450
Cu 0.4075 0.4075 0.3629
Cu 0.5925 0.5925 0.6371
Cu 0.6923 0.6923 0.4550
Cu 0.9436 0.9436 0.5922
As 0.2026 0.2026 0.7068
As 0.4794 0.4794 0.7780
As 0.5206 0.5206 0.2220
As 0.7974 0.7974 0.2932



Entry 13:
AcCu2As: relaxed, PBE.

Summary:
* space group: No. 123
* E_tot: -4.331 eV/atom
* DFT formation energy: -93 meV/atom

Cell lengths 4.4006, 4.4006, 4.5979 Å; angles 90.00, 90.00, 90.00 degrees
Element x y z (fractional)
Ac 0.0000 0.0000 0.0000
Cu 0.0000 0.5000 0.5000
Cu 0.5000 0.0000 0.5000
As 0.5000 0.5000 0.0000



Entry 14:
AcCuAs: relaxed, PBE.

Summary:
* space group: No. 71
* E_tot: -5.094 eV/atom
* DFT formation energy: -810 meV/atom

Cell lengths 4.2239, 8.1187, 8.5144 Å; angles 90.00, 90.00, 90.00 degrees
Element x y z (fractional)
Ac 0.0000 0.2410 0.0000
Ac 0.0000 0.7590 0.0000
Ac 0.5000 0.2590 0.5000
Ac 0.5000 0.7410 0.5000
Cu 0.0000 0.0000 0.3521
Cu 0.0000 0.0000 0.6479
Cu 0.5000 0.5000 0.1479
Cu 0.5000 0.5000 0.8521
As 0.0000 0.5000 0.2945
As 0.0000 0.5000 0.7055
As 0.5000 0.0000 0.2055
As 0.5000 0.0000 0.7945



Entry 15:
AcCuAs: relaxed, PBE.

Summary:
* space group: No. 216
* E_tot: -4.826 eV/atom
* DFT formation energy: -541 meV/atom

Cell lengths 6.7063, 6.7063, 6.7063 Å; angles 90.00, 90.00, 90.00 degrees
Element x y z (fractional)
Ac 0.0000 0.0000 0.0000
Ac 0.0000 0.5000 0.5000
Ac 0.5000 0.0000 0.5000
Ac 0.5000 0.5000 0.0000
Cu 0.2500 0.2500 0.2500
Cu 0.2500 0.7500 0.7500
Cu 0.7500 0.2500 0.7500
Cu 0.7500 0.7500 0.2500
As 0.0000 0.0000 0.5000
As 0.0000 0.5000 0.0000
As 0.5000 0.0000 0.0000
As 0.5000 0.5000 0.5000



Entry 16:
AcCuAs4: relaxed, PBE.

Summary:
* space group: No. 216
* E_tot: -4.552 eV/atom
* DFT formation energy: -85 meV/atom

Cell lengths 5.7432, 5.7432, 5.7432 Å; angles 60.00, 60.00, 60.00 degrees
Element x y z (fractional)
Ac 0.0000 0.0000 0.0000
Cu 0.7500 0.7500 0.7500
As 0.3812 0.3812 0.3812
As 0.3812 0.3812 0.8564
As 0.3812 0.8564 0.3812
As 0.8564 0.3812 0.3812



Entry 17:
AcCu3As3: relaxed, PBE.

Summary:
* space group: No. 148
* E_tot: -4.645 eV/atom
* DFT formation energy: -310 meV/atom

Cell lengths 8.3673, 8.3673, 8.3673 Å; angles 49.31, 49.31, 49.31 degrees
Element x y z (fractional)
Ac 0.1678 0.1678 0.1678
Ac 0.8322 0.8322 0.8322
Cu 0.0280 0.7094 0.3734
Cu 0.2906 0.6266 0.9720
Cu 0.3734 0.0280 0.7094
Cu 0.6266 0.9720 0.2906
Cu 0.7094 0.3734 0.0280
Cu 0.9720 0.2906 0.6266
As 0.0872 0.4028 0.7294
As 0.2706 0.9128 0.5972
As 0.4028 0.7294 0.0872
As 0.5972 0.2706 0.9128
As 0.7294 0.0872 0.4028
As 0.9128 0.5972 0.2706



Entry 18:
AcCuAs: relaxed, PBE.

Summary:
* space group: No. 107
* E_tot: -4.706 eV/atom
* DFT formation energy: -421 meV/atom

Cell lengths 4.3273, 4.3273, 8.5497 Å; angles 90.00, 90.00, 90.00 degrees
Element x y z (fractional)
Ac 0.0000 0.0000 0.0000
Ac 0.5000 0.5000 0.5000
Cu 0.0000 0.0000 0.6465
Cu 0.5000 0.5000 0.1465
As 0.0000 0.0000 0.3674
As 0.5000 0.5000 0.8674



Entry 19:
AcCu3As3: relaxed, PBE.

Summary:
* space group: No. 223
* E_tot: -4.673 eV/atom
* DFT formation energy: -337 meV/atom

Cell lengths 6.6463, 6.6463, 6.6463 Å; angles 90.00, 90.00, 90.00 degrees
Element x y z (fractional)
Ac 0.0000 0.0000 0.0000
Ac 0.5000 0.5000 0.5000
Cu 0.0000 0.2500 0.5000
Cu 0.0000 0.7500 0.5000
Cu 0.2500 0.5000 0.0000
Cu 0.5000 0.0000 0.2500
Cu 0.5000 0.0000 0.7500
Cu 0.7500 0.5000 0.0000
As 0.0000 0.5000 0.2500
As 0.0000 0.5000 0.7500
As 0.2500 0.0000 0.5000
As 0.5000 0.2500 0.0000
As 0.5000 0.7500 0.0000
As 0.7500 0.0000 0.5000



Entry 20:
AcCu4As2: relaxed, PBE.

Summary:
* space group: No. 136
* E_tot: -4.636 eV/atom
* DFT formation energy: -380 meV/atom

Cell lengths 7.7804, 7.7804, 4.0647 Å; angles 90.00, 90.00, 90.00 degrees
Element x y z (fractional)
Ac 0.0000 0.0000 0.0000
Ac 0.5000 0.5000 0.5000
Cu 0.0811 0.3523 0.5000
Cu 0.1477 0.5811 0.0000
Cu 0.3523 0.0811 0.5000
Cu 0.4189 0.8523 0.0000
Cu 0.5811 0.1477 0.0000
Cu 0.6477 0.9189 0.5000
Cu 0.8523 0.4189 0.0000
Cu 0.9189 0.6477 0.5000
As 0.2177 0.7823 0.5000
As 0.2823 0.2823 0.0000
As 0.7177 0.7177 0.0000
As 0.7823 0.2177 0.5000



Entry 21:
AcCuAs: relaxed, PBE.

Summary:
* space group: No. 187
* E_tot: -5.135 eV/atom
* DFT formation energy: -851 meV/atom

Cell lengths 4.2785, 4.2785, 4.4744 Å; angles 90.00, 90.00, 120.00 degrees
Element x y z (fractional)
Ac 0.0000 0.0000 0.0000
Cu 0.6667 0.3333 0.5000
As 0.3333 0.6667 0.5000



Entry 22:
AcEuCuAs: relaxed, PBE.

Summary:
* space group: No. 216
* E_tot: -6.373 eV/atom
* DFT formation energy: -590 meV/atom

Cell lengths 7.5298, 7.5298, 7.5298 Å; angles 90.00, 90.00, 90.00 degrees
Element x y z (fractional)
Ac 0.0000 0.0000 0.0000
Ac 0.0000 0.5000 0.5000
Ac 0.5000 0.0000 0.5000
Ac 0.5000 0.5000 0.0000
Eu 0.0000 0.0000 0.5000
Eu 0.0000 0.5000 0.0000
Eu 0.5000 0.0000 0.0000
Eu 0.5000 0.5000 0.5000
Cu 0.2500 0.2500 0.7500
Cu 0.2500 0.7500 0.2500
Cu 0.7500 0.2500 0.2500
Cu 0.7500 0.7500 0.7500
As 0.2500 0.2500 0.2500
As 0.2500 0.7500 0.7500
As 0.7500 0.2500 0.7500
As 0.7500 0.7500 0.2500



no.,magnetic moment (μB per cell)
1,2.0
2,0.0
3,2.0
4,0.0
5,0.0
6,2.1
7,0.0
8,0.0
9,0.0
10,0.0
11,0.0
12,0.0
13,0.0
14,0.0
15,0.0
16,0.0
17,0.0
18,0.0
19,0.0
20,0.0
21,0.0
22,30.5